1.
This record from Alexandria describes CaBPS2 after structural relaxation. The functional is GGA-PBE.

Computed properties:
symmetry = P4/mmm, No. 123
formation energy (no corrections) = -0.129 eV/atom
energy above the lowest structure with this stoichiometry = 0.000 eV/atom

Lattice parameters (Å, degrees): 4.7373 4.7373 3.7990 90.00 90.00 90.00
With the nearest neighbours (Å) after each atom.
Element x y z (fractional)
P: 0.0000 0.0000 0.5000  2 B 1.90
Ca: 0.5000 0.5000 0.5000  8 S 3.04, 4 P 3.35
B: 0.0000 0.0000 0.0000  2 P 1.90
S: 0.0000 0.5000 0.0000  2 B 2.37
S: 0.5000 0.0000 0.0000  2 B 2.37

2.
This record from Alexandria describes CaBP2S after structural relaxation. The functional is GGA-PBE.

Computed properties:
symmetry = P4/mmm, No. 123
formation energy (no corrections) = 1.722 eV/atom
energy above the lowest structure with this stoichiometry = 1.664 eV/atom

Lattice parameters (Å, degrees): 5.2554 5.1338 5.2554 90.00 90.00 90.00
With the nearest neighbours (Å) after each atom.
Element x y z (fractional)
P: 0.0000 0.0000 0.5000  2 Ca 2.63
P: 0.5000 0.0000 0.0000  2 Ca 2.63
Ca: 0.0000 0.0000 0.0000  2 S 2.57, 4 P 2.63
B: 0.5000 0.5000 0.5000  8 P 3.67, 4 S 3.72
S: 0.0000 0.5000 0.0000  2 Ca 2.57

3.
This record from Alexandria describes CaBSbP2 after structural relaxation. The functional is GGA-PBE.

Computed properties:
symmetry = P4/mmm, No. 123
formation energy (no corrections) = 1.482 eV/atom

Lattice parameters (Å, degrees): 5.1852 4.6847 5.1852 90.00 90.00 90.00
With the nearest neighbours (Å) after each atom.
Element x y z (fractional)
Sb: 0.5000 0.5000 0.5000  8 P 3.49, 4 B 3.67
Ca: 0.0000 0.0000 0.0000  2 B 2.34, 4 P 2.59
B: 0.0000 0.5000 0.0000  2 Ca 2.34
P: 0.0000 0.0000 0.5000  2 Ca 2.59
P: 0.5000 0.0000 0.0000  2 Ca 2.59

4.
This record from Alexandria describes Ca2BPSe after structural relaxation. The functional is GGA-PBE.

Computed properties:
symmetry = P4/mmm, No. 123
formation energy (no corrections) = -0.016 eV/atom

Lattice parameters (Å, degrees): 5.4530 4.1145 5.4530 90.00 90.00 90.00
With the nearest neighbours (Å) after each atom.
Element x y z (fractional)
P: 0.5000 0.5000 0.5000  8 Ca 3.42
Ca: 0.0000 0.0000 0.5000  2 Se 2.73
Ca: 0.5000 0.0000 0.0000  2 Se 2.73
B: 0.0000 0.5000 0.0000  2 Se 2.06
Se: 0.0000 0.0000 0.0000  2 B 2.06

5.
This record from Alexandria describes CaZnB2P after structural relaxation. The functional is GGA-PBE.

Computed properties:
symmetry = P4/mmm, No. 123

Lattice parameters (Å, degrees): 4.0728 4.6406 4.0728 90.00 90.00 90.00
With the nearest neighbours (Å) after each atom.
Element x y z (fractional)
P: 0.0000 0.0000 0.0000  4 B 2.04
Zn: 0.0000 0.5000 0.0000  2 P 2.32
B: 0.0000 0.0000 0.5000  2 P 2.04
B: 0.5000 0.0000 0.0000  2 P 2.04
Ca: 0.5000 0.5000 0.5000  4 Zn 2.88, 8 B 3.09

6.
This record from Alexandria describes CaB12Pb after structural relaxation. The functional is GGA-PBE.

Computed properties:
symmetry = Fm-3m, No. 225

Lattice parameters (Å, degrees): 5.9236 5.9236 5.9236 60.00 60.00 60.00
With the nearest neighbours (Å) after each atom.
Element x y z (fractional)
Ca: 0.5000 0.5000 0.5000  24 B 3.08
B: 0.8987 0.8987 0.6013  5 B 1.70-1.76
B: 0.3987 0.3987 0.1013  5 B 1.70-1.76
B: 0.6013 0.8987 0.6013  5 B 1.70-1.76
B: 0.1013 0.3987 0.1013  5 B 1.70-1.76
B: 0.8987 0.6013 0.6013  5 B 1.70-1.76
B: 0.3987 0.1013 0.1013  5 B 1.70-1.76
B: 0.8987 0.6013 0.8987  5 B 1.70-1.76
B: 0.3987 0.1013 0.3987  5 B 1.70-1.76
B: 0.6013 0.8987 0.8987  5 B 1.70-1.76
B: 0.1013 0.3987 0.3987  5 B 1.70-1.76
B: 0.6013 0.6013 0.8987  5 B 1.70-1.76
B: 0.1013 0.1013 0.3987  5 B 1.70-1.76
Pb: 0.0000 0.0000 0.0000  24 B 3.08

7.
This record from Alexandria describes CaB2Pb after structural relaxation. The functional is GGA-PBE.

Computed properties:
symmetry = I-42d, No. 122

Lattice parameters (Å, degrees): 4.7835 4.7835 8.1423 72.92 72.92 90.00
With the nearest neighbours (Å) after each atom.
Element x y z (fractional)
Pb: 0.0000 0.0000 0.0000  4 B 2.34
Pb: 0.7500 0.2500 0.5000  4 B 2.34
Ca: 0.5000 0.5000 0.0000  4 B 2.73
Ca: 0.2500 0.7500 0.5000  4 B 2.73
B: 0.7115 0.1250 0.2500  2 Pb 2.34
B: 0.0385 0.6250 0.2500  2 Pb 2.34
B: 0.3750 0.2885 0.7500  2 Pb 2.34
B: 0.8750 0.9615 0.7500  2 Pb 2.34

8.
This record from Alexandria describes CaBPb2 after structural relaxation. The functional is GGA-PBE.

Computed properties:
symmetry = I-42d, No. 122

Lattice parameters (Å, degrees): 8.0470 8.0470 6.4508 51.41 51.41 90.00
With the nearest neighbours (Å) after each atom.
Element x y z (fractional)
Pb: 0.5402 0.1250 0.2500  2 B 2.53
Pb: 0.2098 0.6250 0.2500  2 B 2.53
Pb: 0.3750 0.4598 0.7500  2 B 2.53
Pb: 0.8750 0.7902 0.7500  2 B 2.53
Ca: 0.0000 0.0000 0.0000  2 B 3.04, 4 Pb 3.32
Ca: 0.7500 0.2500 0.5000  2 B 3.04, 4 Pb 3.32
B: 0.5000 0.5000 0.0000  4 Pb 2.53
B: 0.2500 0.7500 0.5000  4 Pb 2.53

9.
This record from Alexandria describes Ca2B2Rh5Pb after structural relaxation. The functional is GGA-PBE.

Computed properties:
symmetry = P4/mbm, No. 127

Lattice parameters (Å, degrees): 3.0762 9.9766 9.9766 90.00 90.00 90.00
With the nearest neighbours (Å) after each atom.
Element x y z (fractional)
Ca: 0.0000 0.6770 0.1770  3 B 2.88-3.01, 10 Rh 2.93-3.05, 2 Ca 3.08
Ca: 0.0000 0.3230 0.8230  3 B 2.88-3.01, 10 Rh 2.93-3.05, 2 Ca 3.08
Ca: 0.0000 0.1770 0.3230  3 B 2.88-3.01, 10 Rh 2.93-3.05, 2 Ca 3.08
Ca: 0.0000 0.8230 0.6770  3 B 2.88-3.01, 10 Rh 2.93-3.05, 2 Ca 3.08
B: 0.0000 0.1190 0.6190  6 Rh 2.20-2.28
B: 0.0000 0.8810 0.3810  6 Rh 2.20-2.28
B: 0.0000 0.6190 0.8810  6 Rh 2.20-2.28
B: 0.0000 0.3810 0.1190  6 Rh 2.20-2.28
Rh: 0.5000 0.2304 0.0703  2 B 2.20
Rh: 0.5000 0.7696 0.9297  2 B 2.20
Rh: 0.5000 0.0703 0.7696  2 B 2.20
Rh: 0.5000 0.7304 0.4297  2 B 2.20
Rh: 0.5000 0.9297 0.2304  2 B 2.20
Rh: 0.5000 0.2696 0.5703  2 B 2.20
Rh: 0.5000 0.5703 0.7304  2 B 2.20
Rh: 0.5000 0.4297 0.2696  2 B 2.20
Rh: 0.5000 0.5000 0.0000  4 B 2.28
Rh: 0.5000 0.0000 0.5000  4 B 2.28
Pb: 0.0000 0.0000 0.0000  8 Rh 2.85, 2 Pb 3.08
Pb: 0.0000 0.5000 0.5000  8 Rh 2.85, 2 Pb 3.08

10.
This record from Alexandria describes Ca3BRh3Pb2 after structural relaxation. The functional is GGA-PBE.

Computed properties:
symmetry = P-62m, No. 189

Lattice parameters (Å, degrees): 3.5659 7.7198 7.7198 120.00 90.00 90.00
With the nearest neighbours (Å) after each atom.
Element x y z (fractional)
Ca: 0.0000 0.0000 0.3492  1 B 2.70, 4 Rh 2.95
Ca: 0.0000 0.6508 0.6508  1 B 2.70, 4 Rh 2.95
Ca: 0.0000 0.3492 0.0000  1 B 2.70, 4 Rh 2.95
B: 0.0000 0.0000 0.0000  6 Rh 2.38
Rh: 0.5000 0.7965 0.0000  2 B 2.38
Rh: 0.5000 0.2035 0.2035  2 B 2.38
Rh: 0.5000 0.0000 0.7965  2 B 2.38
Pb: 0.5000 0.3333 0.6667  6 Ca 3.08, 3 Rh 3.19
Pb: 0.5000 0.6667 0.3333  6 Ca 3.08, 3 Rh 3.19

11.
This record from Alexandria describes SrCa2BPb after structural relaxation. The functional is GGA-PBE.

Computed properties:
symmetry = P4/mmm, No. 123

Lattice parameters (Å, degrees): 5.3748 5.2440 5.3748 90.00 90.00 90.00
With the nearest neighbours (Å) after each atom.
Element x y z (fractional)
Pb: 0.0000 0.5000 0.0000  2 B 2.62
Sr: 0.5000 0.5000 0.5000  8 Ca 3.75, 4 Pb 3.80
Ca: 0.0000 0.0000 0.5000  2 B 2.69
Ca: 0.5000 0.0000 0.0000  2 B 2.69
B: 0.0000 0.0000 0.0000  2 Pb 2.62, 4 Ca 2.69

12.
This record from Alexandria describes CaBPb2W after structural relaxation. The functional is GGA-PBE.

Computed properties:
symmetry = P4/mmm, No. 123

Lattice parameters (Å, degrees): 5.3717 5.6490 5.3717 90.00 90.00 90.00
With the nearest neighbours (Å) after each atom.
Element x y z (fractional)
Pb: 0.0000 0.0000 0.5000  2 W 2.69
Pb: 0.5000 0.0000 0.0000  2 W 2.69
Ca: 0.0000 0.5000 0.0000  2 W 2.82
B: 0.5000 0.5000 0.5000  4 Ca 3.80, 8 Pb 3.90
W: 0.0000 0.0000 0.0000  4 Pb 2.69, 2 Ca 2.82

13.
This record from Alexandria describes CaB2Pd8 after structural relaxation. The functional is GGA-PBE.

Computed properties:
symmetry = C2/m, No. 12

Lattice parameters (Å, degrees): 4.4127 6.3733 6.3733 111.60 96.98 96.98
With the nearest neighbours (Å) after each atom.
Element x y z (fractional)
Ca: 0.5000 0.0000 0.0000  12 Pd 2.79-3.01
B: 0.0000 0.3181 0.6819  8 Pd 2.28-2.37
B: 0.0000 0.6819 0.3181  8 Pd 2.28-2.37
Pd: 0.9181 0.9373 0.6656  2 B 2.32-2.37
Pd: 0.9181 0.6656 0.9373  2 B 2.32-2.37
Pd: 0.2827 0.5980 0.5980  2 B 2.31, 1 Pd 2.59
Pd: 0.5000 0.7356 0.2644  2 B 2.28
Pd: 0.5000 0.2644 0.7356  2 B 2.28
Pd: 0.7173 0.4020 0.4020  2 B 2.31, 1 Pd 2.59
Pd: 0.0819 0.3344 0.0627  2 B 2.32-2.37
Pd: 0.0819 0.0627 0.3344  2 B 2.32-2.37

14.
This record from Alexandria describes CaB3Pd after structural relaxation. The functional is GGA-PBE.

Computed properties:
symmetry = Pm-3m, No. 221
energy above the lowest structure with this stoichiometry = 1.874 eV/atom

Lattice parameters (Å, degrees): 4.5231 4.5231 4.5231 90.00 90.00 90.00
With the nearest neighbours (Å) after each atom.
Element x y z (fractional)
Ca: 0.0000 0.0000 0.0000  6 B 2.26
B: 0.0000 0.5000 0.0000  2 Ca 2.26
B: 0.0000 0.0000 0.5000  2 Ca 2.26
B: 0.5000 0.0000 0.0000  2 Ca 2.26
Pd: 0.5000 0.5000 0.5000  12 B 3.20

15.
This record from Alexandria describes CaB4Pd12 after structural relaxation. The functional is GGA-PBE.

Computed properties:
symmetry = Im-3, No. 204

Lattice parameters (Å, degrees): 6.8474 6.8474 6.8474 109.47 109.47 109.47
With the nearest neighbours (Å) after each atom.
Element x y z (fractional)
Ca: 0.0000 0.0000 0.0000  12 Pd 2.92
B: 0.0000 0.5000 0.0000  6 Pd 2.13
B: 0.5000 0.0000 0.0000  6 Pd 2.13
B: 0.5000 0.5000 0.5000  6 Pd 2.13
B: 0.0000 0.0000 0.5000  6 Pd 2.13
Pd: 0.8190 0.3220 0.1411  2 B 2.13
Pd: 0.3220 0.5030 0.1810  2 B 2.13
Pd: 0.8589 0.1810 0.6780  2 B 2.13
Pd: 0.3220 0.1411 0.8190  2 B 2.13
Pd: 0.1411 0.8190 0.3220  2 B 2.13
Pd: 0.6780 0.4970 0.8190  2 B 2.13
Pd: 0.5030 0.1810 0.3220  2 B 2.13
Pd: 0.4970 0.8190 0.6780  2 B 2.13
Pd: 0.6780 0.8589 0.1810  2 B 2.13
Pd: 0.8190 0.6780 0.4970  2 B 2.13
Pd: 0.1810 0.3220 0.5030  2 B 2.13
Pd: 0.1810 0.6780 0.8589  2 B 2.13

16.
This record from Alexandria describes CaB2Pd6 after structural relaxation. The functional is GGA-PBE.

Computed properties:
symmetry = Fd-3m, No. 227

Lattice parameters (Å, degrees): 7.6190 7.6190 7.6190 60.00 60.00 60.00
With the nearest neighbours (Å) after each atom.
Element x y z (fractional)
Ca: 0.5000 0.5000 0.5000  6 Pd 3.18
Ca: 0.7500 0.7500 0.7500  6 Pd 3.18
B: 0.1250 0.1250 0.1250  6 Pd 2.09
B: 0.1250 0.6250 0.1250  6 Pd 2.09
B: 0.1250 0.1250 0.6250  6 Pd 2.09
B: 0.6250 0.1250 0.1250  6 Pd 2.09
Pd: 0.2045 0.2045 0.7955  2 B 2.09
Pd: 0.7955 0.7955 0.2045  2 B 2.09
Pd: 0.2045 0.7955 0.2045  2 B 2.09
Pd: 0.2045 0.7955 0.7955  2 B 2.09
Pd: 0.4545 0.4545 0.0455  2 B 2.09
Pd: 0.4545 0.0455 0.0455  2 B 2.09
Pd: 0.7955 0.2045 0.7955  2 B 2.09
Pd: 0.0455 0.0455 0.4545  2 B 2.09
Pd: 0.4545 0.0455 0.4545  2 B 2.09
Pd: 0.0455 0.4545 0.4545  2 B 2.09
Pd: 0.7955 0.2045 0.2045  2 B 2.09
Pd: 0.0455 0.4545 0.0455  2 B 2.09

17.
This record from Alexandria describes CaB2Pd7 after structural relaxation. The functional is GGA-PBE.

Computed properties:
symmetry = Cmmm, No. 65

Lattice parameters (Å, degrees): 4.2027 6.4886 6.4886 113.65 90.00 90.00
With the nearest neighbours (Å) after each atom.
Element x y z (fractional)
Ca: 0.0000 0.0000 0.0000  8 Pd 2.91
B: 0.5000 0.7112 0.2888  7 Pd 2.14-2.34
B: 0.5000 0.2888 0.7112  7 Pd 2.14-2.34
Pd: 0.0000 0.6754 0.3246  2 B 2.14
Pd: 0.0000 0.3246 0.6754  2 B 2.14
Pd: 0.5000 0.0559 0.3280  2 B 2.15-2.34
Pd: 0.5000 0.9441 0.6720  2 B 2.15-2.34
Pd: 0.5000 0.3280 0.0559  2 B 2.15-2.34
Pd: 0.5000 0.6720 0.9441  2 B 2.15-2.34
Pd: 0.5000 0.5000 0.5000  2 B 2.29

18.
This record from Alexandria describes CaB3Pd after structural relaxation. The functional is GGA-PBE.

Computed properties:
symmetry = Pm-3m, No. 221
energy above the lowest structure with this stoichiometry = 0.000 eV/atom

Lattice parameters (Å, degrees): 4.1508 4.1508 4.1508 90.00 90.00 90.00
With the nearest neighbours (Å) after each atom.
Element x y z (fractional)
Ca: 0.5000 0.5000 0.5000  12 B 2.94
B: 0.0000 0.5000 0.0000  2 Pd 2.08
B: 0.0000 0.0000 0.5000  2 Pd 2.08
B: 0.5000 0.0000 0.0000  2 Pd 2.08
Pd: 0.0000 0.0000 0.0000  6 B 2.08

19.
This record from Alexandria describes CaBPd2 after structural relaxation. The functional is GGA-PBE.

Computed properties:
symmetry = I-42d, No. 122

Lattice parameters (Å, degrees): 5.1570 5.1570 7.4173 69.66 69.66 90.00
With the nearest neighbours (Å) after each atom.
Element x y z (fractional)
Ca: 0.0000 0.0000 0.0000  8 Pd 3.30-3.31, 4 B 3.65
Ca: 0.7500 0.2500 0.5000  8 Pd 3.30-3.31, 4 B 3.65
B: 0.5000 0.5000 0.0000  4 Pd 2.07
B: 0.2500 0.7500 0.5000  4 Pd 2.07
Pd: 0.3735 0.1250 0.2500  2 B 2.07
Pd: 0.3765 0.6250 0.2500  2 B 2.07
Pd: 0.3750 0.6265 0.7500  2 B 2.07
Pd: 0.8750 0.6235 0.7500  2 B 2.07

20.
This record from Alexandria describes CaBPd6 after structural relaxation. The functional is GGA-PBE.

Computed properties:
symmetry = R-3m, No. 166

Lattice parameters (Å, degrees): 5.6809 5.6809 5.9513 61.49 61.49 60.00
With the nearest neighbours (Å) after each atom.
Element x y z (fractional)
Ca: 0.5000 0.5000 0.5000  12 Pd 3.13
B: 0.0000 0.0000 0.0000  6 Pd 2.07
Pd: 0.9045 0.9045 0.7657  1 B 2.07
Pd: 0.4253 0.9045 0.7657  1 B 2.07
Pd: 0.0955 0.5747 0.2343  1 B 2.07
Pd: 0.5747 0.0955 0.2343  1 B 2.07
Pd: 0.0955 0.0955 0.2343  1 B 2.07
Pd: 0.9045 0.4253 0.7657  1 B 2.07

Electronic total energy values, unit hartree per atom, following the record order: -0.169, -0.110, -0.119, -0.144, -0.132, -0.231, -0.135, -0.137, -0.231, -0.184, -0.111, -0.157, -0.199, -0.098, -0.208, -0.201, -0.198, -0.167, -0.181, -0.194.
Fermi-level density of states values, unit states/eV/f.u., following the record order: 1.293, 5.886, 3.012, 1.887, 2.025, 0.009, 0.007, 2.829, 3.078, 3.833, 4.609, 4.359, 4.750, 6.288, 8.601, 1.249, 4.254, 2.606, 2.052, 6.327.